InAsOF2: relaxed, PBE.

Summary:
**Calculated density**: 5.06 Mg/m³
**Total energy**: -22.68 eV/f.u.
**E_form (uncorrected)**: -30.4 kcal/mol of atoms
**Distance to the lowest polymorph of the same formula**: 0.0 kJ per mole of atoms

a b c (Å): 4.509 4.509 3.933
angles (deg): 90.00 90.00 90.00
Sites, in units of the cell vectors:
In: 0.000 0.000 0.000
As: 0.500 0.500 0.500
O: 0.500 0.500 0.000
F: 0.000 0.500 0.500
F: 0.500 0.000 0.500